(1)
A geometry-optimized CaRe2PdAu structure, computed with PBE-GGA.

Lattice parameters (Å, degrees): 4.6534 4.6534 4.9379 90.00 90.00 90.00
Positions (direct):
Ca: 0.0000 0.0000 0.0000
Re: 0.0000 0.5000 0.0000
Re: 0.5000 0.0000 0.0000
Pd: 0.5000 0.5000 0.5000
Au: 0.0000 0.0000 0.5000

- Mass density: 11.1 g/cm3
- DOS(E_F): 1.1374 states/eV per atom
- DFT formation energy: 13.791 eV per formula unit


(2)
A geometry-optimized CaPdRhAu2 structure, computed with PBE-GGA.

Lattice parameters (Å, degrees): 5.1581 5.1581 4.6203 90.00 90.00 90.00
Positions (direct):
Ca: 0.0000 0.0000 0.0000
Pd: 0.5000 0.5000 0.5000
Rh: 0.0000 0.0000 0.5000
Au: 0.0000 0.5000 0.0000
Au: 0.5000 0.0000 0.0000

- Mass density: 8.7 g/cm3
- DOS(E_F): 0.6065 states/eV per atom
- DFT formation energy: 5.501 eV per formula unit


(3)
A geometry-optimized Ca2SbPd5Au2 structure, computed with PBE-GGA.

Lattice parameters (Å, degrees): 9.8945 9.8945 3.9896 90.00 90.00 90.00
Positions (direct):
Ca: 0.1678 0.3322 0.0000
Ca: 0.3322 0.8322 0.0000
Ca: 0.6678 0.1678 0.0000
Ca: 0.8322 0.6678 0.0000
Sb: 0.0000 0.0000 0.0000
Sb: 0.5000 0.5000 0.0000
Pd: 0.0000 0.5000 0.5000
Pd: 0.0601 0.8034 0.5000
Pd: 0.1966 0.0601 0.5000
Pd: 0.3034 0.5601 0.5000
Pd: 0.4399 0.3034 0.5000
Pd: 0.5000 0.0000 0.5000
Pd: 0.5601 0.6966 0.5000
Pd: 0.6966 0.4399 0.5000
Pd: 0.8034 0.9399 0.5000
Pd: 0.9399 0.1966 0.5000
Au: 0.1308 0.6308 0.0000
Au: 0.3692 0.1308 0.0000
Au: 0.6308 0.8692 0.0000
Au: 0.8692 0.3692 0.0000

- Mass density: 9.6 g/cm3
- DOS(E_F): 0.3363 states/eV per atom
- E_form (uncorrected): -0.59 eV per atom


(4)
A geometry-optimized Ca3Sb2Pd9Au structure, computed with PBE-GGA.

Lattice parameters (Å, degrees): 8.0826 8.0826 6.2615 90.00 90.00 120.00
Positions (direct):
Ca: 0.0000 0.0000 0.0000
Ca: 0.3333 0.6667 0.6629
Ca: 0.6667 0.3333 0.3371
Sb: 0.3333 0.6667 0.1600
Sb: 0.6667 0.3333 0.8400
Pd: 0.0000 0.5000 0.0000
Pd: 0.1728 0.3456 0.3472
Pd: 0.1728 0.8272 0.3472
Pd: 0.3456 0.1728 0.6528
Pd: 0.5000 0.0000 0.0000
Pd: 0.5000 0.5000 0.0000
Pd: 0.6544 0.8272 0.3472
Pd: 0.8272 0.1728 0.6528
Pd: 0.8272 0.6544 0.6528
Au: 0.0000 0.0000 0.5000

- Mass density: 7.1 g/cm3
- DOS(E_F): 0.6976 states/eV per atom
- E_form (uncorrected): -0.23 eV per atom


(5)
A geometry-optimized Ca2ScPdAu6 structure, computed with PBE-GGA.

Lattice parameters (Å, degrees): 7.2583 7.2583 7.2583 60.00 60.00 60.00
Positions (direct):
Ca: 0.2500 0.2500 0.2500
Ca: 0.7500 0.7500 0.7500
Sc: 0.0000 0.0000 0.0000
Pd: 0.5000 0.5000 0.5000
Au: 0.2499 0.2499 0.7501
Au: 0.2499 0.7501 0.2499
Au: 0.2499 0.7501 0.7501
Au: 0.7501 0.2499 0.2499
Au: 0.7501 0.2499 0.7501
Au: 0.7501 0.7501 0.2499

- Mass density: 8.7 g/cm3
- DOS(E_F): 0.3234 states/eV per atom
- DFT formation energy: -1.507 eV per formula unit


(6)
A geometry-optimized CaPdAuSe structure, computed with PBE-GGA.

Lattice parameters (Å, degrees): 4.8515 4.8515 4.8515 60.00 60.00 60.00
Positions (direct):
Ca: 0.0000 0.0000 0.0000
Pd: 0.5000 0.5000 0.5000
Au: 0.2500 0.2500 0.2500
Se: 0.7500 0.7500 0.7500

- Mass density: 8.7 g/cm3
- DOS(E_F): 0.2735 states/eV per atom
- E_form (uncorrected): -0.63 eV per atom


(7)
A geometry-optimized Ca2SiPdAu6 structure, computed with PBE-GGA.

Lattice parameters (Å, degrees): 5.5402 6.5302 7.3129 77.97 67.76 65.07
Positions (direct):
Ca: 0.2126 0.2554 0.3192
Ca: 0.7874 0.7446 0.6808
Si: 0.0000 0.0000 0.0000
Pd: 0.5000 0.5000 0.5000
Au: 0.2353 0.7881 0.2467
Au: 0.2512 0.6101 0.8868
Au: 0.2707 0.2113 0.7531
Au: 0.7293 0.7887 0.2469
Au: 0.7488 0.3899 0.1132
Au: 0.7647 0.2119 0.7533

- Mass density: 10.5 g/cm3
- DOS(E_F): 0.3837 states/eV per atom
- E_form (uncorrected): -0.43 eV per atom


(8)
A geometry-optimized CaSiPd2Au structure, computed with PBE-GGA.

Lattice parameters (Å, degrees): 5.0447 5.0447 5.1529 90.00 90.00 90.00
Positions (direct):
Ca: 0.0000 0.0000 0.0000
Si: 0.5000 0.5000 0.0000
Pd: 0.0000 0.5000 0.5000
Pd: 0.5000 0.0000 0.5000
Au: 0.0000 0.0000 0.5000

- Mass density: 6.1 g/cm3
- DOS(E_F): 0.7015 states/eV per atom
- E_form (uncorrected): 0.61 eV per atom